## LaZnFeCoO6 (PBE+U)

Data for a geometry-optimized LaZnFeCoO6 structure.

Computed properties:
Space group ... Pc (7)
ρ ... 6.301 g/cm³
VASP energy ... -6.339 eV/atom
Total magnetization ... 5.9 μB/f.u.
V ... 10.9 Å³/atom
Crystal system ... monoclinic

Cell: 5.4963 5.2863 9.1774 Å, 55.13 90.00 90.00°
Sites, in units of the cell vectors:
O  0.7540  0.1201  0.2427
La  0.7589  0.2594  0.7511
Co  0.7495  0.4999  0.9993
O  0.0304  0.7158  0.5564
O  0.2460  0.1201  0.7427
Fe  0.7473  0.9999  0.4978
La  0.2411  0.2594  0.2511
Co  0.2505  0.4999  0.4993
Zn  0.2561  0.7194  0.7488
O  0.9696  0.7158  0.0564
O  0.0248  0.3427  0.9440
Fe  0.2527  0.9999  0.9978
O  0.7443  0.8198  0.7571
O  0.9752  0.3427  0.4440
O  0.4916  0.3260  0.9432
O  0.4831  0.6970  0.5596
Zn  0.7439  0.7194  0.2488
O  0.2557  0.8198  0.2571
O  0.5169  0.6970  0.0596
O  0.5084  0.3260  0.4432